KBWO5 after structural relaxation, computed with PBE+U.

a = 5.4644 Å, b = 5.4644 Å, c = 7.3792 Å
α = 106.37°, β = 106.37°, γ = 104.00°
Atoms (fractional coordinates):
K (0.3370, 0.6630, 0.2500)
K (0.6630, 0.3370, 0.7500)
B (0.6896, 0.3104, 0.2500)
B (0.3104, 0.6896, 0.7500)
W (0.0000, 0.0000, 0.5000)
W (0.0000, 0.0000, 0.0000)
O (0.0617, 0.9383, 0.2500)
O (0.9383, 0.0617, 0.7500)
O (0.8675, 0.2842, 0.1265)
O (0.1325, 0.7158, 0.8735)
O (0.7158, 0.1325, 0.3735)
O (0.2842, 0.8675, 0.6265)
O (0.7783, 0.6110, 0.3833)
O (0.2217, 0.3890, 0.6167)
O (0.3890, 0.2217, 0.1167)
O (0.6110, 0.7783, 0.8833)

Results
E = -6.9645 eV/atom
Fermi-level density of states = 0.00 states/eV per cell
space group = C2/c
density = 5.5 g cm⁻³